(1)
VASP calculation (PBE-GGA) on a relaxed structure of Li2HfZnIn2Pd2.

The structure in POSCAR format:
```
Li2HfZnIn2Pd2
1.0
-1.414 -0.597 4.291
2.357 -3.893 0.235
5.196 3.277 2.168
In Li Pd Zn Hf
2 2 2 1 1
Cartesian
3.070 -0.607 3.347
0.000 0.000 0.000
2.637 -1.027 0.726
3.030 2.058 3.705
5.106 0.530 1.756
0.562 0.502 2.675
2.598 1.638 1.084
0.472 -2.245 2.263
```

Values from the calculation:
The total energy is -34.507 eV for the cell shown. Its magnetic moment is 0.0 μB/f.u. The space-group type is No. 115.

---

(2)
VASP calculation (PBE-GGA) on a relaxed structure of LiHfInPt.

The structure in POSCAR format:
```
LiHfInPt
1.0
0.000 3.270 3.270
3.270 0.000 3.270
3.270 3.270 0.000
In Li Hf Pt
1 1 1 1
Cartesian
1.635 1.635 1.635
4.905 4.905 4.905
0.000 0.000 0.000
3.270 3.270 3.270
```

Values from the calculation:
The total energy is -21.826 eV for the cell shown. The calculation puts the energy above the lowest structure with this stoichiometry at 0.439 eV/atom. Its magnetic moment is 0.0 μB/f.u. The space-group type is No. 216.

---

(3)
VASP calculation (PBE-GGA) on a relaxed structure of LiHfInPt.

The structure in POSCAR format:
```
LiHfInPt
1.0
-1.620 -0.201 4.370
-4.160 -1.930 0.859
-0.257 -4.103 2.206
Hf Pt In Li
1 1 1 1
Cartesian
-1.509 -1.558 1.859
-3.019 -3.117 3.718
0.000 0.000 0.000
-4.528 -4.675 5.577
```

Values from the calculation:
The total energy is -22.699 eV for the cell shown. The calculation puts the energy above the lowest structure with this stoichiometry at 0.221 eV/atom. Its magnetic moment is 0.0 μB/f.u. The space-group type is No. 216.

---

(4)
VASP calculation (PBE-GGA) on a relaxed structure of LiHfInPt.

The structure in POSCAR format:
```
LiHfInPt
1.0
-1.699 -1.518 -3.991
2.408 -3.888 0.453
-4.987 -2.721 3.157
Li Pt In Hf
2 2 2 2
Cartesian
-4.587 -2.798 0.370
-0.045 -2.625 1.017
-2.538 -3.985 2.595
-2.095 -1.438 -1.207
-2.139 -4.063 -0.190
0.000 0.000 0.000
0.355 -2.703 -1.769
-2.493 -1.360 1.578
```

Values from the calculation:
The total energy is -47.164 eV for the cell shown. The calculation puts the energy above the lowest structure with this stoichiometry at 0.000 eV/atom. Its magnetic moment is 0.0 μB/f.u. The space-group type is No. 216.

---

(5)
VASP calculation (PBE-GGA) on a relaxed structure of LiHfInPt.

The structure in POSCAR format:
```
LiHfInPt
1.0
4.299 -0.301 1.595
0.936 -2.723 3.581
2.415 -3.860 -0.619
Pt Li Hf In
1 1 1 1
Cartesian
1.913 -1.721 1.139
5.738 -5.163 3.418
3.825 -3.442 2.278
0.000 0.000 0.000
```

Values from the calculation:
The total energy is -23.581 eV for the cell shown. The calculation puts the energy above the lowest structure with this stoichiometry at 0.000 eV/atom. Its magnetic moment is 0.0 μB/f.u. The space-group type is No. 216.

---

(6)
VASP calculation (PBE-GGA) on a relaxed structure of Li2HfScIn2Pt2.

The structure in POSCAR format:
```
Li2HfScIn2Pt2
1.0
4.619 0.000 0.000
0.000 4.619 0.000
0.000 0.000 6.521
Pt Sc In Li Hf
2 1 2 2 1
Cartesian
2.310 0.000 4.948
0.000 2.310 1.573
2.310 2.310 3.261
2.310 2.310 0.000
0.000 0.000 3.261
0.000 2.310 4.874
2.310 0.000 1.647
0.000 0.000 0.000
```

Values from the calculation:
The total energy is -43.730 eV for the cell shown. Its magnetic moment is 0.0 μB/f.u. The space-group type is No. 115.

---

(7)
VASP calculation (PBE-GGA) on a relaxed structure of Lu4Hf2In3N3.

The structure in POSCAR format:
```
Lu4Hf2In3N3
1.0
5.059 -2.925 0.000
5.059 2.925 0.000
-3.408 0.000 14.990
In Hf N Lu
6 4 6 8
Cartesian
2.503 2.295 11.242
5.775 0.419 3.729
4.071 -0.419 11.224
2.640 0.419 3.766
4.207 -2.295 3.747
0.936 -0.419 11.260
2.515 0.499 13.834
2.491 0.499 8.650
4.219 -0.499 6.340
4.195 -0.499 1.155
0.826 1.463 7.495
5.873 -1.413 0.000
2.542 -1.413 7.495
4.246 1.413 0.000
4.169 1.413 7.495
2.530 -1.463 0.000
0.804 -0.503 6.198
7.610 -0.503 1.296
7.571 -0.463 6.198
5.866 0.463 13.693
-0.860 0.463 8.791
-0.900 0.503 13.693
5.906 0.503 8.791
0.844 -0.463 1.296
```

Values from the calculation:
The total energy is -168.471 eV for the cell shown. Its magnetic moment is 0.0 μB/f.u. The space-group type is No. 15.

---

(8)
VASP calculation (PBE-GGA) on a relaxed structure of HfMg2In.

The structure in POSCAR format:
```
HfMg2In
1.0
-1.325 0.864 4.716
-3.291 3.581 1.043
-4.569 -1.199 1.560
Mg In Hf
2 1 1
Cartesian
0.000 0.000 0.000
-6.889 2.434 5.489
-4.592 1.623 3.660
-2.296 0.811 1.830
```

Values from the calculation:
The total energy is -15.382 eV for the cell shown. Its magnetic moment is 0.0 μB/f.u. The space-group type is No. 216.